1.
The following is a GGA-PBE calculation of crystalline Ti3MnC at its relaxed geometry, from Alexandria.

Its crystal system is cubic.

Structure (CIF):
```
data_Ti3MnC
_cell_length_a 4.3661
_cell_length_b 4.3661
_cell_length_c 4.3661
_cell_angle_alpha 90.00
_cell_angle_beta 90.00
_cell_angle_gamma 90.00
_symmetry_space_group_name_H-M 'P 1'
_symmetry_Int_Tables_number 1
_symmetry_space_group_name_Hall 'P 1'
loop_
_atom_site_label
_atom_site_type_symbol
_atom_site_fract_x
_atom_site_fract_y
_atom_site_fract_z
Ti1 Ti 0.0000 0.0000 0.5000
Ti2 Ti 0.0000 0.5000 0.0000
Ti3 Ti 0.5000 0.0000 0.0000
Mn1 Mn 0.0000 0.0000 0.0000
C1 C 0.5000 0.5000 0.5000
```

=====

2.
The following is a GGA-PBE calculation of crystalline GdMgZrIr at its relaxed geometry, from Alexandria.

Its crystal system is cubic.

Structure (CIF):
```
data_GdMgZrIr
_cell_length_a 4.9164
_cell_length_b 4.9164
_cell_length_c 4.9164
_cell_angle_alpha 60.00
_cell_angle_beta 60.00
_cell_angle_gamma 60.00
_symmetry_space_group_name_H-M 'P 1'
_symmetry_Int_Tables_number 1
_symmetry_space_group_name_Hall 'P 1'
loop_
_atom_site_label
_atom_site_type_symbol
_atom_site_fract_x
_atom_site_fract_y
_atom_site_fract_z
Gd1 Gd 0.0000 0.0000 0.0000
Mg1 Mg 0.7500 0.7500 0.7500
Zr1 Zr 0.5000 0.5000 0.5000
Ir1 Ir 0.2500 0.2500 0.2500
```

=====

| no. | energy of formation (kJ/mol of formula units) |
| --- | --- |
| 1 | 657 |
| 2 | -122 |